First-principles (PBE-GGA) data for a geometry-optimized CsPmPt10 structure, as listed in the Alexandria database.

mass density = 15.8 g/cm³
total energy = -5.834 eV/atom
energy of formation from the pure elements = -0.33 eV per atom

Lattice parameters (Å, degrees): 4.3666 5.5884 9.5838 90.00 90.00 90.00
Last column: nearest neighbours and their distance in Å.
Space group Pmmm (No. 47)
Symmetry-distinct sites (fractional):
Cs (0.0000, 0.0000, 0.0000) [1 per cell]  18 Pt 3.26-3.63
Pm (0.0000, 0.5000, 0.5000) [1 per cell]  14 Pt 3.10-3.43
Pt (0.0000, 0.0000, 0.3404) [2 per cell]  6 Pt 2.67-2.72
Pt (0.0000, 0.5000, 0.1761) [2 per cell]  6 Pt 2.70-2.76
Pt (0.5000, 0.0000, 0.5000) [1 per cell]  8 Pt 2.67-2.69
Pt (0.5000, 0.2568, 0.2628) [4 per cell]  8 Pt 2.69-2.87
Pt (0.5000, 0.5000, 0.0000) [1 per cell]  8 Pt 2.76-2.86